Entry 1:
TeIrPtPb | GGA-PBE | optimized geometry

Summary:
Formation energy without anion corrections = 0.048 eV per atom
Mass density = 12.22 Mg/m³
Calculated total energy = -5.39 eV/atom
Polymorph energy (0 for the lowest one) = 101 meV per atom
DOS(E_F) = 0.66 states/eV/f.u.
Space-group type = P3m1, No. 156
V = 98.16 Å³/cell

a = 3.7834 Å, b = 3.7834 Å, c = 7.9179 Å
α = 90.00°, β = 90.00°, γ = 120.00°
Last column: nearest neighbours and their distance in Å.
Positions (direct):
Te 0.0000 0.0000 0.0000  3 Ir 2.58
Ir 0.6667 0.3333 0.1738  3 Te 2.58, 3 Pt 2.73
Pt 0.0000 0.0000 0.3804  3 Ir 2.73, 3 Pb 2.81, 1 Te 3.01
Pb 0.3333 0.6667 0.6030  3 Pt 2.81

Entry 2:
TeIrPtPb | GGA-PBE | optimized geometry

Summary:
Formation energy without anion corrections = 0.118 eV per atom
Mass density = 13.88 Mg/m³
Calculated total energy = -5.32 eV/atom
Polymorph energy (0 for the lowest one) = 171 meV per atom
DOS(E_F) = 2.54 states/eV/f.u.
Space-group type = Imm2, No. 44
V = 86.41 Å³/cell

a = 6.2514 Å, b = 6.2514 Å, c = 6.2514 Å
α = 151.63°, β = 131.47°, γ = 57.17°
Last column: nearest neighbours and their distance in Å.
Positions (direct):
Te 0.0000 0.0000 0.0000  2 Ir 2.64, 1 Pt 2.66
Ir 0.5538 0.0538 0.5000  2 Te 2.64, 2 Pt 2.71
Pt 0.7577 0.7577 0.0000  1 Te 2.66, 2 Ir 2.71
Pb 0.3214 0.3214 0.0000  2 Ir 2.98, 2 Pb 3.06, 4 Pt 3.07

Entry 3:
TeIrPtPb | GGA-PBE | optimized geometry

Summary:
Formation energy without anion corrections = -0.019 eV per atom
Mass density = 12.18 Mg/m³
Calculated total energy = -5.46 eV/atom
Polymorph energy (0 for the lowest one) = 34 meV per atom
DOS(E_F) = 2.52 states/eV/f.u.
Space-group type = Cm, No. 8
V = 98.41 Å³/cell

a = 3.9399 Å, b = 3.9399 Å, c = 7.3018 Å
α = 90.49°, β = 90.49°, γ = 60.26°
Last column: nearest neighbours and their distance in Å.
Positions (direct):
Te 0.0000 0.0000 0.0000  3 Ir 2.63
Ir 0.6642 0.6642 0.8200  3 Te 2.63, 3 Pt 2.65-2.66
Pt 0.3290 0.3290 0.6325  3 Ir 2.65-2.66, 3 Pb 2.85
Pb 0.6614 0.6614 0.3983  3 Pt 2.85, 1 Ir 3.08

Entry 4:
TeIrPtPb | GGA-PBE | optimized geometry

Summary:
Formation energy without anion corrections = 0.107 eV per atom
Mass density = 13.25 Mg/m³
Calculated total energy = -5.33 eV/atom
Polymorph energy (0 for the lowest one) = 160 meV per atom
DOS(E_F) = 1.58 states/eV/f.u.
Space-group type = Amm2, No. 38
V = 90.52 Å³/cell

a = 3.4383 Å, b = 6.4727 Å, c = 6.4727 Å
α = 38.93°, β = 90.00°, γ = 90.00°
Last column: nearest neighbours and their distance in Å.
Positions (direct):
Te 0.0000 0.0000 0.0000  2 Ir 2.61, 2 Pt 2.70
Ir 0.5000 0.1608 0.1608  2 Te 2.61, 4 Pb 2.85
Pt 0.0000 0.3670 0.3670  2 Te 2.70, 2 Pb 2.80
Pb 0.0000 0.7210 0.7210  2 Pt 2.80, 4 Ir 2.85

Entry 5:
TeIrPtPb | GGA-PBE | optimized geometry

Summary:
Formation energy without anion corrections = -0.013 eV per atom
Mass density = 12.42 Mg/m³
Calculated total energy = -5.45 eV/atom
Polymorph energy (0 for the lowest one) = 39 meV per atom
DOS(E_F) = 2.16 states/eV/f.u.
Space-group type = Cm, No. 8
V = 96.54 Å³/cell

a = 3.9822 Å, b = 3.9822 Å, c = 7.4313 Å
α = 106.34°, β = 106.34°, γ = 60.02°
Last column: nearest neighbours and their distance in Å.
Positions (direct):
Te 0.0000 0.0000 0.0000  3 Ir 2.62-2.63
Ir 0.7304 0.7304 0.1796  3 Te 2.62-2.63, 3 Pt 2.64-2.65
Pt 0.4609 0.4609 0.3653  3 Ir 2.64-2.65, 3 Pb 2.82-2.83
Pb 0.2108 0.2108 0.5999  3 Pt 2.82-2.83

Entry 6:
TeIrPtPb | GGA-PBE | optimized geometry

Summary:
Formation energy without anion corrections = 0.147 eV per atom
Mass density = 12.04 Mg/m³
Calculated total energy = -5.29 eV/atom
Polymorph energy (0 for the lowest one) = 199 meV per atom
DOS(E_F) = 2.10 states/eV/f.u.
Space-group type = R3m, No. 160
V = 99.60 Å³/cell

a = 6.9216 Å, b = 6.9216 Å, c = 6.9216 Å
α = 35.44°, β = 35.44°, γ = 35.44°
Last column: nearest neighbours and their distance in Å.
Positions (direct):
Te 0.0000 0.0000 0.0000  1 Ir 2.57, 3 Pt 2.66
Ir 0.1322 0.1322 0.1322  1 Te 2.57, 3 Pb 2.69, 3 Pt 2.85
Pt 0.7222 0.7222 0.7222  3 Te 2.66, 3 Ir 2.85
Pb 0.5248 0.5248 0.5248  3 Ir 2.69

Entry 7:
TeIrPtPb | GGA-PBE | optimized geometry

Summary:
Formation energy without anion corrections = 0.039 eV per atom
Mass density = 14.23 Mg/m³
Calculated total energy = -5.40 eV/atom
Polymorph energy (0 for the lowest one) = 92 meV per atom
DOS(E_F) = 2.45 states/eV/f.u.
Space-group type = Pm, No. 6
V = 84.29 Å³/cell

a = 4.0896 Å, b = 3.8436 Å, c = 5.5328 Å
α = 90.00°, β = 104.26°, γ = 90.00°
Last column: nearest neighbours and their distance in Å.
Positions (direct):
Te 0.0000 0.0000 0.0000  2 Ir 2.68, 2 Pt 2.81-2.93
Ir 0.5316 0.5000 0.8889  2 Te 2.68, 2 Pb 2.80-2.83, 2 Pt 2.81
Pt 0.1910 0.0000 0.5464  2 Te 2.81-2.93, 2 Ir 2.81, 4 Pb 2.85-2.95
Pb 0.6633 0.5000 0.4104  2 Ir 2.80-2.83, 4 Pt 2.85-2.95

Entry 8:
TeIrPtPb | GGA-PBE | optimized geometry

Summary:
Formation energy without anion corrections = -0.053 eV per atom
Mass density = 13.74 Mg/m³
Calculated total energy = -5.49 eV/atom
Polymorph energy (0 for the lowest one) = 0 meV per atom
DOS(E_F) = 1.85 states/eV/f.u.
Space-group type = P3m1, No. 156
V = 87.26 Å³/cell

a = 4.2300 Å, b = 4.2300 Å, c = 5.6310 Å
α = 90.00°, β = 90.00°, γ = 120.00°
Last column: nearest neighbours and their distance in Å.
Positions (direct):
Te 0.0000 0.0000 0.0000  3 Ir 2.74, 3 Pt 2.88
Ir 0.3333 0.6667 0.7796  3 Te 2.74, 2 Pt 2.76-2.87, 3 Pb 2.83
Pt 0.3333 0.6667 0.2705  2 Ir 2.76-2.87, 3 Pb 2.83, 3 Te 2.88
Pb 0.6667 0.3333 0.5252  3 Ir 2.83, 3 Pt 2.83